Computed, not measured: a relaxed AcNdCuHg crystal at the PBE level of DFT.

POSCAR file:
```
AcNdCuHg
1.0
-0.1678 5.1501 1.7447
-2.9703 3.6851 -2.6821
-4.5541 1.9690 2.2314
Ac Nd Hg Cu
1 1 1 1
Cartesian
0.0000 0.0000 0.0000
-3.8461 5.4021 0.6470
-5.7691 8.1032 0.9705
-1.9230 2.7011 0.3235
```

Properties
Formation enthalpy at 0 K (eV/atom): -0.245


Computed, not measured: a relaxed Cs2PrHoO4 crystal at the PBE level of DFT.

POSCAR file:
```
Cs2PrHoO4
1.0
-2.2906 2.8301 0.0208
-4.4786 -3.6058 -2.5886
-0.7021 -0.6211 7.1736
Cs Pr Ho O
2 1 1 4
Cartesian
-1.4964 1.1045 3.5972
-2.5903 -2.1134 2.2925
-3.3846 -0.3878 -1.2839
0.0000 0.0000 0.0000
-2.2067 0.5512 0.6583
-5.2646 -1.9479 3.9475
-1.7698 -1.4713 5.2864
-3.4109 -2.7555 -0.7014
```

Properties
ΔE_f (raw) (eV/atom): -2.546


Computed, not measured: a relaxed Pm2Ge5Au3 crystal at the PBE level of DFT.

POSCAR file:
```
Pm2Ge5Au3
1.0
-6.3271 1.1463 0.5073
-4.6354 -4.9553 -5.6129
-4.0481 -6.2672 4.6778
Pm Ge Au
4 10 6
Cartesian
-4.2065 -3.8370 -2.7901
-7.0856 -3.8994 2.4483
-10.8041 -6.2392 2.3623
-7.9250 -6.1768 -2.8762
-7.5747 -7.0015 3.3578
-11.1657 -5.4735 -3.8786
-7.4360 -3.0747 -3.7856
-3.8449 -4.6027 3.4507
-9.6992 -7.9642 -0.4618
-5.3115 -2.1120 0.0339
-9.0871 -4.7515 -0.0871
-5.9235 -5.3247 -0.3407
-2.1479 -2.6851 -0.2197
-12.8627 -7.3911 -0.2081
-7.7475 -6.8635 0.8907
-11.0592 -5.9594 -1.4521
-7.2632 -3.2127 -1.3186
-3.9514 -4.1168 1.0242
-1.5818 0.2866 0.1268
-4.7453 0.8597 0.3804
```

Properties
Formation enthalpy at 0 K (eV/atom): -0.428


Computed, not measured: a relaxed LaPm4DyHo2 crystal at the PBE level of DFT.

POSCAR file:
```
LaPm4DyHo2
1.0
3.6309 0.0000 0.0000
0.0001 11.8396 -1.8958
0.0000 2.0593 5.9003
La Pm Dy Ho
1 4 1 2
Cartesian
1.8155 5.9198 -0.9479
0.0001 10.4773 2.9824
3.6309 3.4216 1.0221
1.8155 9.4254 0.0436
1.8155 4.4735 3.9609
0.0000 6.9494 2.0023
0.0000 2.0593 5.9003
1.8155 1.0297 2.9502
```

Properties
Formation enthalpy at 0 K (eV/atom): 0.020


Computed, not measured: a relaxed Tb6Nd2Sm3Mg crystal at the PBE level of DFT.

POSCAR file:
```
Tb6Nd2Sm3Mg
1.0
6.1879 -0.0027 0.0066
-3.0948 5.3584 0.0066
-1.0486 -1.8157 11.6695
Tb Nd Sm Mg
6 2 3 1
Cartesian
3.0757 1.7747 8.7720
2.0618 3.5699 2.9310
-1.0311 1.7654 2.9107
0.0001 3.5510 8.7720
-0.0173 -0.0299 8.7517
2.0444 -0.0109 2.9107
0.0009 3.5705 0.0066
3.0922 1.7852 0.0066
-2.0779 3.5605 5.8414
4.1225 -0.0204 5.8414
1.0223 1.7700 5.8414
0.0000 0.0000 0.0000
```

Properties
Formation enthalpy at 0 K (eV/atom): 0.019


Computed, not measured: a relaxed Ce3PmTh2Se6 crystal at the PBE level of DFT.

POSCAR file:
```
Ce3PmTh2Se6
1.0
7.2627 0.0058 0.0034
-3.6246 6.2936 0.0034
-1.2105 -2.0959 6.8656
Ce Pm Th Se
3 1 2 6
Cartesian
-2.4169 4.1986 3.4362
4.8446 0.0048 3.4362
1.2138 2.1017 3.4362
0.0000 0.0000 0.0000
0.0055 4.1970 0.0034
3.6325 2.1023 0.0034
3.6305 2.1141 5.1471
2.4315 4.2102 1.7307
-1.2029 2.0894 1.7253
0.0168 4.2011 5.1471
-0.0039 -0.0067 5.1418
2.4109 0.0023 1.7253
```

Properties
ΔE_f (raw) (eV/atom): -1.733


Computed, not measured: a relaxed ZrZn2PdPb crystal at the PBE level of DFT.

POSCAR file:
```
ZrZn2PdPb
1.0
-2.9033 -1.7962 -3.2310
2.3762 -4.5926 0.4179
-3.0050 -1.2460 3.3929
Pb Zn Zr Pd
1 2 1 1
Cartesian
1.1881 -2.2963 0.2090
-1.5025 -0.6230 1.6965
-1.4516 -0.8981 -1.6155
-1.7660 -3.8174 0.2899
0.0000 0.0000 0.0000
```

Properties
Formation enthalpy at 0 K (eV/atom): 0.309


Computed, not measured: a relaxed Zn2AgSb crystal at the PBE level of DFT.

POSCAR file:
```
Zn2AgSb
1.0
4.8729 0.0000 0.0000
0.0000 4.8729 0.0000
0.0000 0.0000 3.3157
Ag Sb Zn
1 1 2
Cartesian
2.4365 0.0000 1.6578
0.0000 2.4365 1.6578
0.0000 0.0000 0.0000
2.4365 2.4365 0.0000
```

Properties
ΔE_f (raw) (eV/atom): 0.199


Computed, not measured: a relaxed Pu2ThSc crystal at the PBE level of DFT.

POSCAR file:
```
Pu2ThSc
1.0
-0.7812 -4.7242 0.4138
4.0964 -0.4737 2.3262
-2.2457 0.7308 4.1035
Sc Th Pu
1 1 2
Cartesian
-0.3906 -2.3621 0.2069
0.5347 -2.2335 3.4217
-1.1228 0.3654 2.0518
2.0482 -0.2368 1.1631
```

Properties
Formation enthalpy at 0 K (eV/atom): 0.139
Energy above the lowest structure with this stoichiometry (meV per atom): 0


Computed, not measured: a relaxed Co5W crystal at the PBE level of DFT.

POSCAR file:
```
Co5W
1.0
1.3026 4.6478 0.0015
-1.3026 4.6478 0.0015
0.0000 1.5354 5.7798
Co W
5 1
Cartesian
0.0000 0.0515 0.0501
0.0000 6.0881 1.6313
0.0000 3.5897 1.9739
0.0000 9.7442 3.4592
0.0000 7.1511 3.8308
0.0000 4.0634 5.4394
```

Properties
Formation enthalpy at 0 K (eV/atom): 0.092
Energy above the lowest structure with this stoichiometry (meV per atom): 74


Computed, not measured: a relaxed TbPu2Ge2Au2 crystal at the PBE level of DFT.

POSCAR file:
```
TbPu2Ge2Au2
1.0
4.5454 0.0000 0.0000
2.2727 3.9364 0.0000
2.2727 1.3121 8.5633
Tb Pu Ge Au
1 2 2 2
Cartesian
0.0000 0.0000 0.0000
2.2727 1.3121 4.9467
6.8181 3.9364 3.6165
6.8181 3.9364 6.7880
2.2727 1.3121 1.7752
4.5454 2.6243 2.0817
4.5454 2.6243 6.4815
```

Properties
Formation enthalpy at 0 K (eV/atom): -0.465


Computed, not measured: a relaxed PuScNi crystal at the PBE level of DFT.

POSCAR file:
```
PuScNi
1.0
5.2717 0.0000 0.0000
2.6358 4.6347 0.0000
2.6358 0.0000 9.8536
Sc Ni Pu
4 4 4
Cartesian
3.9538 2.3174 6.5636
3.9538 2.3174 3.2900
5.2717 0.0000 8.2169
2.6358 0.0000 1.6368
6.5896 2.3174 7.3845
6.5896 2.3174 2.4692
2.6358 0.0000 7.3960
5.2717 0.0000 2.4577
6.5896 0.7667 4.9268
6.5896 3.8681 4.9268
5.2717 1.5507 0.0000
2.6358 3.0841 0.0000
```

Properties
Formation enthalpy at 0 K (eV/atom): -0.184
Energy above the lowest structure with this stoichiometry (meV per atom): 0


Computed, not measured: a relaxed ZnIrNF2 crystal at the PBE level of DFT.

POSCAR file:
```
ZnIrNF2
1.0
-2.2601 -0.0396 -2.8008
-1.2601 -3.1997 1.0621
-3.7595 2.4760 2.9987
N Zn Ir F
1 1 1 2
Cartesian
-1.8798 1.2380 1.4994
0.0000 0.0000 0.0000
-3.6399 -0.3817 0.6300
-0.6301 -1.5999 0.5311
-1.1301 -0.0198 -1.4004
```

Properties
ΔE_f (raw) (eV/atom): 0.308
Energy above the lowest structure with this stoichiometry (meV per atom): 503


Computed, not measured: a relaxed Pm4CdGe crystal at the PBE level of DFT.

POSCAR file:
```
Pm4CdGe
1.0
-4.9119 1.1712 0.5899
0.5041 -0.4240 5.0416
1.7701 7.2116 0.4308
Pm Cd Ge
4 1 1
Cartesian
-1.5002 2.0348 5.4349
-0.6551 5.4782 5.6420
1.5485 5.1046 2.8259
0.7040 1.6615 2.6196
-0.4451 7.5741 3.2325
1.3778 3.1718 5.2426
```

Properties
Formation enthalpy at 0 K (eV/atom): -0.194
Energy above the lowest structure with this stoichiometry (meV per atom): 195


Computed, not measured: a relaxed Li2PmCu10 crystal at the PBE level of DFT.

POSCAR file:
```
Li2PmCu10
1.0
-3.8283 -2.6005 1.2185
-2.4214 -3.2893 -5.2295
1.6567 -5.9588 1.8860
Li Pm Cu
2 1 10
Cartesian
-1.2107 -1.6446 -2.6148
-3.1249 -2.9449 -2.0055
0.0000 0.0000 0.0000
-1.8929 -6.8445 -1.7584
-2.7001 -5.0041 -0.3666
0.1719 -4.9535 -0.6334
-4.7649 -6.8951 -1.4916
0.8284 -2.9794 0.9430
-1.0858 -4.2797 1.5522
-1.2355 -2.7934 -0.4452
-3.3575 -9.0552 -1.6798
-3.4243 -5.1705 -2.9973
-1.1687 -6.6780 0.8723
```

Properties
Formation enthalpy at 0 K (eV/atom): -0.048


Computed, not measured: a relaxed TmZr2Cd crystal at the PBE level of DFT.

POSCAR file:
```
TmZr2Cd
1.0
3.7790 0.0000 0.0000
0.0000 4.7832 -1.0291
0.0000 -0.4207 11.1203
Tm Zr Cd
2 4 2
Cartesian
2.8342 3.6393 5.9938
0.9447 0.7232 4.0974
2.8342 1.8825 9.4580
0.9447 2.4800 0.6332
0.9447 4.2718 8.9166
2.8342 0.0907 1.1746
0.9447 1.3748 7.1368
2.8342 2.9877 2.9544
```

Properties
Formation enthalpy at 0 K (eV/atom): -0.057
Energy above the lowest structure with this stoichiometry (meV per atom): 0


Computed, not measured: a relaxed Sm2GdIn crystal at the PBE level of DFT.

POSCAR file:
```
Sm2GdIn
1.0
-1.4735 -3.7916 0.8610
0.6929 -1.1621 -3.9317
6.4570 -2.1094 1.7615
Gd Sm In
1 2 1
Cartesian
-0.3903 -2.4769 -1.5354
4.7354 -1.5469 1.2918
1.7216 -0.5624 0.4697
2.8382 -3.5316 -0.6546
```

Properties
Formation enthalpy at 0 K (eV/atom): -0.176
Energy above the lowest structure with this stoichiometry (meV per atom): 112


Computed, not measured: a relaxed Pm4NdSc4 crystal at the PBE level of DFT.

POSCAR file:
```
Pm4NdSc4
1.0
4.8849 0.0000 0.0000
2.4424 7.3977 0.0000
2.4424 0.0000 7.3977
Pm Nd Sc
4 1 4
Cartesian
4.8849 2.4211 2.4210
4.8849 4.9766 4.9768
7.3273 4.9768 2.4211
2.4424 2.4210 4.9766
0.0000 0.0000 0.0000
7.3273 4.9239 7.3976
2.4424 2.4739 0.0001
4.8849 0.0001 4.9239
4.8849 7.3976 2.4739
```

Properties
Formation enthalpy at 0 K (eV/atom): 0.060


Computed, not measured: a relaxed Cu2GeS3 crystal at the PBE level of DFT.

POSCAR file:
```
Cu2GeS3
1.0
12.4944 0.0208 -0.0162
10.2282 6.1235 -0.0013
2.2662 -1.4666 5.9239
Cu Ge S
8 4 12
Cartesian
10.4330 1.1777 1.4128
19.5170 2.2133 5.4407
13.7795 4.7964 3.4815
7.5323 3.5714 1.9337
4.1859 0.0639 0.0075
13.2698 1.0439 3.9641
6.9996 -0.0871 2.4575
10.9806 4.8670 0.9796
13.7911 2.3662 0.3967
10.4390 3.5784 4.5207
9.8101 -0.1285 5.0250
16.6862 2.2885 2.8469
17.2350 2.5911 5.1493
11.5127 5.0435 3.2028
8.1670 1.4709 1.2490
4.7354 0.1866 2.2361
11.5911 2.7822 0.2460
20.5991 3.8393 4.1678
7.6101 0.1186 4.6579
14.3519 2.6733 2.6956
21.2108 5.1690 0.7516
10.9878 1.4182 3.6683
17.7599 3.9225 1.7454
4.1860 -1.1727 5.6867
```

Properties
ΔE_f (raw) (eV/atom): -0.322


Computed, not measured: a relaxed K2TlAu crystal at the PBE level of DFT.

POSCAR file:
```
K2TlAu
1.0
4.0571 0.0000 0.0000
0.0000 4.0595 0.0000
0.0000 0.0000 8.4998
Tl Au K
1 1 2
Cartesian
2.0286 2.0297 2.1250
2.0286 2.0297 6.3749
0.0000 0.0000 8.2487
0.0000 0.0000 4.5010
```

Properties
Formation enthalpy at 0 K (eV/atom): -0.142


Computed, not measured: a relaxed Ho8ZnBi2 crystal at the PBE level of DFT.

POSCAR file:
```
Ho8ZnBi2
1.0
-1.5602 -2.0870 4.2918
4.1605 -5.3264 -1.0777
6.3337 7.0381 2.7880
Ho Zn Bi
8 1 2
Cartesian
6.7070 2.1472 3.4823
1.0047 0.6268 3.6070
5.1543 -1.1262 4.2630
5.6014 3.5906 6.7192
3.7796 0.7509 1.7391
7.9293 -1.0020 2.3952
2.2270 -2.5225 2.5199
3.3325 -3.9658 -0.7170
-0.7801 -1.0435 2.1459
3.6969 1.6129 5.0652
5.2370 -1.9882 0.9370
```

Properties
Formation enthalpy at 0 K (eV/atom): -0.261


Computed, not measured: a relaxed Tm5Co2Ir crystal at the PBE level of DFT.

POSCAR file:
```
Tm5Co2Ir
1.0
6.3288 0.0000 -2.9875
-1.4103 6.1697 -2.9875
0.1865 0.2339 8.5923
Tm Co Ir
10 4 2
Cartesian
2.5665 4.3615 2.5176
3.8844 6.0146 -2.8879
0.0000 0.0000 0.0000
2.4593 3.0848 -2.9875
1.2206 0.3890 5.5051
4.1822 1.2766 3.5816
-0.3950 3.4739 4.4412
0.9229 5.1270 -0.9643
5.5000 2.9297 -1.8239
2.5385 2.0421 0.0996
0.1720 2.3856 -1.4938
3.7219 0.6993 -2.1710
1.1967 5.4704 -3.8041
4.7466 3.7841 -4.4813
3.7821 4.7442 -0.1851
1.3229 1.6594 2.8024
```

Properties
Formation enthalpy at 0 K (eV/atom): -0.472


Computed, not measured: a relaxed SrRu3F crystal at the PBE level of DFT.

POSCAR file:
```
SrRu3F
1.0
4.4222 0.0000 0.0000
0.0000 4.4222 0.0000
0.0000 0.0000 4.4222
Ru F Sr
3 1 1
Cartesian
0.0000 2.2111 0.0000
0.0000 0.0000 2.2111
2.2111 0.0000 0.0000
0.0000 0.0000 0.0000
2.2111 2.2111 2.2111
```

Properties
ΔE_f (raw) (eV/atom): 0.919
Energy above the lowest structure with this stoichiometry (meV per atom): 0